# 1
Density functional theory data (PBE-GGA) for a geometry-optimized LiPrCd3Ag structure.

Output
SG	No. 63
calculated formation energy	-0.132	eV per atom
DOS at the Fermi energy	7.6	states/eV per cell

abc: 6.1419 6.5036 7.6292
angles: 115.23 90.00 90.00
Closest atoms and distances in Å follow each position.
Positions (direct):
Li (0.2500, 0.9150, 0.8299)  4 Cd 2.66, 1 Pr 2.96
Li (0.7500, 0.0850, 0.1701)  4 Cd 2.66, 1 Pr 2.96
Pr (0.7500, 0.2997, 0.5993)  1 Li 2.96, 2 Ag 3.14
Pr (0.2500, 0.7003, 0.4007)  1 Li 2.96, 2 Ag 3.14
Cd (0.2500, 0.1385, 0.2771)  1 Ag 2.86, 4 Cd 3.06, 3 Li 3.09-3.16
Cd (0.0000, 0.2805, 0.0000)  2 Li 2.66, 1 Cd 2.85
Cd (0.5000, 0.7195, 0.0000)  2 Li 2.66, 1 Cd 2.85
Cd (0.5000, 0.2805, 0.0000)  2 Li 2.66, 1 Cd 2.85
Cd (0.0000, 0.7195, 0.0000)  2 Li 2.66, 1 Cd 2.85
Cd (0.7500, 0.8615, 0.7229)  1 Ag 2.86, 4 Cd 3.06, 3 Li 3.09-3.16
Ag (0.2500, 0.3454, 0.6908)  5 Cd 2.86-2.99, 2 Pr 3.14
Ag (0.7500, 0.6546, 0.3092)  5 Cd 2.86-2.99, 2 Pr 3.14

# 2
Density functional theory data (PBE-GGA) for a geometry-optimized Li2PrCdAg2 structure.

Output
SG	No. 164
calculated formation energy	-0.210	eV per atom
DOS at the Fermi energy	3.9	states/eV per cell

abc: 4.6895 4.6895 6.7128
angles: 90.00 90.00 120.00
Closest atoms and distances in Å follow each position.
Positions (direct):
Li (0.3333, 0.6667, 0.6668)  4 Ag 2.69-2.74, 3 Cd 2.93
Li (0.6667, 0.3333, 0.3332)  4 Ag 2.69-2.74, 3 Cd 2.93
Pr (0.0000, 0.0000, 0.0000)  6 Ag 3.25, 2 Cd 3.36, 6 Li 3.51
Cd (0.0000, 0.0000, 0.5000)  6 Li 2.93, 6 Ag 3.13
Ag (0.3333, 0.6667, 0.2666)  4 Li 2.69-2.74
Ag (0.6667, 0.3333, 0.7334)  4 Li 2.69-2.74

# 3
Density functional theory data (PBE-GGA) for a geometry-optimized Li2PrCd2Ag2 structure.

Output
SG	No. 12
calculated formation energy	-0.239	eV per atom
DOS at the Fermi energy	3.9	states/eV per cell

abc: 4.8486 4.8378 8.0108
angles: 108.78 90.00 120.07
Closest atoms and distances in Å follow each position.
Positions (direct):
Li (0.1486, 0.2972, 0.4386)  1 Ag 2.59
Li (0.8514, 0.7028, 0.5614)  1 Ag 2.59
Pr (0.0000, 0.0000, 0.0000)  6 Ag 3.21-3.22, 2 Li 3.26, 6 Cd 3.49-3.52
Cd (0.5676, 0.1351, 0.7144)  3 Ag 2.85, 3 Li 3.00-3.05
Cd (0.4324, 0.8649, 0.2856)  3 Ag 2.85, 3 Li 3.00-3.05
Ag (0.7406, 0.4812, 0.2132)  1 Li 2.59, 3 Cd 2.85
Ag (0.2594, 0.5188, 0.7868)  1 Li 2.59, 3 Cd 2.85

# 4
Density functional theory data (PBE-GGA) for a geometry-optimized LiPrCd2Ag4 structure.

Output
SG	No. 166
calculated formation energy	-0.202	eV per atom
DOS at the Fermi energy	3.6	states/eV per cell

abc: 4.8449 4.8449 8.6571
angles: 73.75 73.75 60.00
Closest atoms and distances in Å follow each position.
Positions (direct):
Li (0.5000, 0.5000, 0.5000)  2 Ag 2.61
Pr (0.0000, 0.0000, 0.0000)  8 Ag 3.17-3.21, 6 Cd 3.48
Cd (0.7509, 0.7509, 0.7473)  7 Ag 2.86-3.02
Cd (0.2491, 0.2491, 0.2527)  7 Ag 2.86-3.02
Ag (0.3937, 0.3937, 0.8190)  1 Li 2.61, 3 Cd 2.86
Ag (0.8696, 0.8696, 0.3913)  4 Cd 2.92-3.02, 3 Li 2.94, 1 Pr 3.21
Ag (0.1304, 0.1304, 0.6087)  4 Cd 2.92-3.02, 3 Li 2.94, 1 Pr 3.21
Ag (0.6063, 0.6063, 0.1810)  1 Li 2.61, 3 Cd 2.86

# 5
Density functional theory data (PBE-GGA) for a geometry-optimized LiCd2AgPt structure.

Output
SG	No. 123
calculated formation energy	0.410	eV per atom
DOS at the Fermi energy	1.5	states/eV per cell

abc: 5.1595 5.1396 5.1595
angles: 90.00 90.00 90.00
Closest atoms and distances in Å follow each position.
Positions (direct):
Li (0.5000, 0.5000, 0.5000)  8 Cd 3.64, 4 Pt 3.65
Ag (0.0000, 0.0000, 0.0000)  2 Pt 2.57, 4 Cd 2.58
Pt (0.0000, 0.5000, 0.0000)  2 Ag 2.57
Cd (0.0000, 0.0000, 0.5000)  2 Ag 2.58
Cd (0.5000, 0.0000, 0.0000)  2 Ag 2.58

# 6
Density functional theory data (PBE-GGA) for a geometry-optimized Li5Cd2Ag2Pt structure.

Output
SG	No. 127
calculated formation energy	-0.223	eV per atom
DOS at the Fermi energy	4.8	states/eV per cell

abc: 2.8491 11.1986 11.1986
angles: 90.00 90.00 90.00
Closest atoms and distances in Å follow each position.
Positions (direct):
Li (0.5000, 0.1884, 0.0281)  2 Pt 2.57, 2 Ag 2.69, 2 Li 2.85
Li (0.5000, 0.8116, 0.9719)  2 Pt 2.57, 2 Ag 2.69, 2 Li 2.85
Li (0.5000, 0.0281, 0.8116)  2 Pt 2.57, 2 Ag 2.69, 2 Li 2.85
Li (0.5000, 0.6884, 0.4719)  2 Pt 2.57, 2 Ag 2.69, 2 Li 2.85
Li (0.5000, 0.9719, 0.1884)  2 Pt 2.57, 2 Ag 2.69, 2 Li 2.85
Li (0.5000, 0.3116, 0.5281)  2 Pt 2.57, 2 Ag 2.69, 2 Li 2.85
Li (0.5000, 0.5281, 0.6884)  2 Pt 2.57, 2 Ag 2.69, 2 Li 2.85
Li (0.5000, 0.4719, 0.3116)  2 Pt 2.57, 2 Ag 2.69, 2 Li 2.85
Li (0.5000, 0.5000, 0.0000)  4 Ag 2.69, 2 Li 2.85
Li (0.5000, 0.0000, 0.5000)  4 Ag 2.69, 2 Li 2.85
Cd (0.0000, 0.6705, 0.1705)  2 Cd 2.85, 1 Ag 2.93, 6 Li 3.05-3.08
Cd (0.0000, 0.3295, 0.8295)  2 Cd 2.85, 1 Ag 2.93, 6 Li 3.05-3.08
Cd (0.0000, 0.1705, 0.3295)  2 Cd 2.85, 1 Ag 2.93, 6 Li 3.05-3.08
Cd (0.0000, 0.8295, 0.6705)  2 Cd 2.85, 1 Ag 2.93, 6 Li 3.05-3.08
Ag (0.0000, 0.1443, 0.6443)  6 Li 2.69, 2 Ag 2.85, 1 Cd 2.93
Ag (0.0000, 0.8557, 0.3557)  6 Li 2.69, 2 Ag 2.85, 1 Cd 2.93
Ag (0.0000, 0.6443, 0.8557)  6 Li 2.69, 2 Ag 2.85, 1 Cd 2.93
Ag (0.0000, 0.3557, 0.1443)  6 Li 2.69, 2 Ag 2.85, 1 Cd 2.93
Pt (0.0000, 0.0000, 0.0000)  8 Li 2.57, 2 Pt 2.85
Pt (0.0000, 0.5000, 0.5000)  8 Li 2.57, 2 Pt 2.85

# 7
Density functional theory data (PBE-GGA) for a geometry-optimized LiPuCdAg structure.

Output
SG	No. 216
calculated formation energy	0.068	eV per atom
DOS at the Fermi energy	13.5	states/eV per cell

abc: 5.0034 5.0034 5.0034
angles: 60.00 60.00 60.00
Closest atoms and distances in Å follow each position.
Positions (direct):
Cd (0.7500, 0.7500, 0.7500)  4 Li 3.06, 4 Ag 3.06
Li (0.5000, 0.5000, 0.5000)  4 Pu 3.06, 4 Cd 3.06
Ag (0.0000, 0.0000, 0.0000)  4 Cd 3.06, 4 Pu 3.06
Pu (0.2500, 0.2500, 0.2500)  4 Li 3.06, 4 Ag 3.06

# 8
Density functional theory data (PBE-GGA) for a geometry-optimized LiPuCdAg structure.

Output
SG	No. 99
calculated formation energy	-0.113	eV per atom
DOS at the Fermi energy	6.5	states/eV per cell

abc: 3.1902 3.1902 8.0250
angles: 90.00 90.00 90.00
Closest atoms and distances in Å follow each position.
Positions (direct):
Li (0.0000, 0.0000, 0.5559)  4 Ag 2.70, 4 Cd 2.86
Pu (0.0000, 0.0000, 0.0826)  4 Pu 3.19, 4 Ag 3.23, 4 Cd 3.34
Cd (0.5000, 0.5000, 0.7755)  4 Li 2.86, 4 Cd 3.19
Ag (0.5000, 0.5000, 0.3706)  4 Li 2.70

# 9
Density functional theory data (PBE-GGA) for a geometry-optimized RbLiCd6Ag structure.

Output
SG	No. 74
calculated formation energy	0.120	eV per atom
DOS at the Fermi energy	6.5	states/eV per cell

abc: 7.8437 9.4578 9.7810
angles: 118.91 113.64 90.00
Closest atoms and distances in Å follow each position.
Positions (direct):
Rb (0.8986, 0.6486, 0.7971)  7 Cd 3.52-3.93
Rb (0.1014, 0.3514, 0.2029)  7 Cd 3.52-3.93
Li (0.5000, 0.0000, 0.5000)  6 Cd 2.65-2.68
Li (0.0000, 0.0000, 0.5000)  6 Cd 2.65-2.68
Cd (0.3880, 0.6380, 0.7759)  2 Ag 2.92, 4 Cd 3.07
Cd (0.8700, 0.1200, 0.7401)  2 Li 2.68
Cd (0.8534, 0.1329, 0.3072)  1 Li 2.65, 1 Ag 2.82
Cd (0.4538, 0.6743, 0.3072)  1 Li 2.65, 1 Ag 2.82
Cd (0.4538, 0.1329, 0.3072)  1 Li 2.65, 1 Ag 2.82
Cd (0.8534, 0.6743, 0.3072)  1 Li 2.65, 1 Ag 2.82
Cd (0.6120, 0.3620, 0.2241)  2 Ag 2.92, 4 Cd 3.07
Cd (0.1300, 0.8800, 0.2599)  2 Li 2.68
Cd (0.1466, 0.8671, 0.6928)  1 Li 2.65, 1 Ag 2.82
Cd (0.5462, 0.3257, 0.6928)  1 Li 2.65, 1 Ag 2.82
Cd (0.5462, 0.8671, 0.6928)  1 Li 2.65, 1 Ag 2.82
Cd (0.1466, 0.3257, 0.6928)  1 Li 2.65, 1 Ag 2.82
Ag (0.5000, 0.5000, 0.0000)  6 Cd 2.82-2.92
Ag (0.5000, 0.0000, 0.0000)  6 Cd 2.82-2.92

# 10
Density functional theory data (PBE-GGA) for a geometry-optimized Rb2LiCdAg structure.

Output
SG	No. 123
calculated formation energy	0.170	eV per atom
DOS at the Fermi energy	1.7	states/eV per cell

abc: 6.6716 5.5060 6.6716
angles: 90.00 90.00 90.00
Closest atoms and distances in Å follow each position.
Positions (direct):
Li (0.5000, 0.5000, 0.5000)  8 Rb 4.33, 4 Cd 4.72
Rb (0.0000, 0.0000, 0.5000)  2 Ag 3.34
Rb (0.5000, 0.0000, 0.0000)  2 Ag 3.34
Ag (0.0000, 0.0000, 0.0000)  2 Cd 2.75
Cd (0.0000, 0.5000, 0.0000)  2 Ag 2.75

# 11
Density functional theory data (PBE-GGA) for a geometry-optimized LiCd2AgRh structure.

Output
SG	No. 123
calculated formation energy	0.364	eV per atom
DOS at the Fermi energy	2.6	states/eV per cell

abc: 4.6449 4.2163 4.6449
angles: 90.00 90.00 90.00
Closest atoms and distances in Å follow each position.
Positions (direct):
Li (0.0000, 0.0000, 0.0000)  2 Rh 2.11, 4 Cd 2.32
Rh (0.0000, 0.5000, 0.0000)  2 Li 2.11
Ag (0.5000, 0.5000, 0.5000)  8 Cd 3.14, 4 Rh 3.28
Cd (0.0000, 0.0000, 0.5000)  2 Li 2.32
Cd (0.5000, 0.0000, 0.0000)  2 Li 2.32

# 12
Density functional theory data (PBE-GGA) for a geometry-optimized LiCdAgRh structure.

Output
SG	No. 216
calculated formation energy	-0.143	eV per atom
DOS at the Fermi energy	1.2	states/eV per cell

abc: 4.5343 4.5343 4.5343
angles: 60.00 60.00 60.00
Closest atoms and distances in Å follow each position.
Positions (direct):
Li (0.0000, 0.0000, 0.0000)  4 Cd 2.78, 4 Ag 2.78
Rh (0.5000, 0.5000, 0.5000)  4 Cd 2.78, 4 Ag 2.78
Ag (0.2500, 0.2500, 0.2500)  4 Rh 2.78, 4 Li 2.78
Cd (0.7500, 0.7500, 0.7500)  4 Li 2.78, 4 Rh 2.78